Crystalline TaGaSiOsPb at its relaxed geometry. Source: Alexandria, functional GGA-PBE.

Excess energy over the best structure of this formula in the dataset (eV/f.u.): 0.00
Space group: Cm
Uncorrected formation energy (eV/atom): -0.02
VASP energy (eV/atom): -7.07

a = 10.656 Å, b = 4.355 Å, c = 4.355 Å
α = 90.00°, β = 101.75°, γ = 90.00°
Fractional positions:
Ta (0.327, 0.000, 0.932)
Pb (0.907, 0.500, 0.727)
Ga (0.628, 0.000, 0.082)
Ga (0.628, 0.500, 0.582)
Si (0.171, 0.500, 0.855)
Os (0.483, 0.500, 0.010)
Os (0.483, 0.000, 0.510)
Pb (0.907, 0.000, 0.227)
Ta (0.327, 0.500, 0.432)
Si (0.171, 0.000, 0.355)



Crystalline MgSbRh2 at its relaxed geometry. Source: Alexandria, functional GGA-PBE.

Space group: P4/mmm
Uncorrected formation energy (eV/atom): -0.54
VASP energy (eV/atom): -5.64

a = 3.543 Å, b = 4.271 Å, c = 4.271 Å
α = 90.00°, β = 90.00°, γ = 90.00°
Fractional positions:
Rh (0.000, 0.500, 0.500)
Rh (0.000, 0.000, 0.000)
Mg (0.500, 0.000, 0.500)
Sb (0.500, 0.500, 0.000)



Number 1: spin magnetization 0.000 Bohr magnetons per cell. Number 2: spin magnetization 0.000 Bohr magnetons per cell.